# In3Te GGA-PBEsol relaxed
# - Electronic total energy: -12.8 eV/cell
# - ΔE_f (raw): -84 meV per atom
data_In3Te
_space_group_name_H-M_alt 'P 4/m m m'
_space_group_IT_number 123
_space_group_name_Hall '-P 4 2'
_cell_length_a 3.953
_cell_length_b 3.953
_cell_length_c 6.936
_cell_angle_alpha 90.00
_cell_angle_beta 90.00
_cell_angle_gamma 90.00
loop_
_atom_site_label
_atom_site_type_symbol
_atom_site_fract_x
_atom_site_fract_y
_atom_site_fract_z
In1 In 0.000 0.000 0.000
In2 In 0.500 0.500 0.255
Te1 Te 0.000 0.000 0.500